Entry 1:
Here is an optimized crystal structure of MnFe2Os from Alexandria via LeMat-Bulk. Energies are from PBE-GGA.

Values from the calculation:
Formation energy from the elements   131 meV per atom
Space-group type   P4mm (99)

Geometry as extended XYZ:
```
4
Lattice="2.5962 0.0000 0.0000 0.0000 2.5962 0.0000 0.0000 0.0000 7.1718" Properties=species:S:1:pos:R:3 pbc="T T T"
Fe 0.0000 0.0000 0.0361
Fe 1.2981 1.2981 1.7867
Mn 0.0000 0.0000 3.4931
Os 1.2981 1.2981 5.4417
```


Entry 2:
Here is an optimized crystal structure of MnFe2Os from Alexandria via LeMat-Bulk. Energies are from PBE-GGA.

Values from the calculation:
Formation energy from the elements   73 meV per atom
Space-group type   Cmmm (65)

Geometry as extended XYZ:
```
4
Lattice="4.4649 -0.0363 0.0000 -1.5064 4.2033 0.0000 0.0000 0.0000 2.5754" Properties=species:S:1:pos:R:3 pbc="T T T"
Fe 0.0000 0.0000 0.0000
Fe 1.4792 2.0835 0.0000
Mn 2.2325 -0.0182 1.2877
Os -0.7532 2.1016 1.2877
```


Entry 3:
Here is an optimized crystal structure of MnFe4Os from Alexandria via LeMat-Bulk. Energies are from PBE-GGA.

Values from the calculation:
Formation energy from the elements   91 meV per atom
Space-group type   F-43m (216)

Geometry as extended XYZ:
```
6
Lattice="4.6610 0.0000 0.0000 2.3305 4.0365 0.0000 2.3305 1.3455 3.8057" Properties=species:S:1:pos:R:3 pbc="T T T"
Fe 3.4937 3.3650 2.3794
Fe 5.8283 3.3650 2.3794
Fe 4.6610 1.3431 2.3794
Fe 4.6610 2.6910 0.4732
Mn 2.3305 1.3455 0.9514
Os 0.0000 0.0000 0.0000
```


Entry 4:
Here is an optimized crystal structure of Mn8FeOs3 from Alexandria via LeMat-Bulk. Energies are from PBE-GGA.

Values from the calculation:
Formation energy from the elements   73 meV per atom
Space-group type   R3m (160)

Geometry as extended XYZ:
```
12
Lattice="-2.6460 -1.5642 -3.4811 -3.3682 -3.0826 0.8477 -6.8956 4.1173 0.2936" Properties=species:S:1:pos:R:3 pbc="T T T"
Mn -7.2921 2.2691 -1.6721
Mn -4.2096 -0.5362 0.3430
Mn -8.9840 0.7207 -1.2463
Mn -2.5417 0.9902 -0.0768
Mn -8.7698 -1.4544 -1.9734
Mn -2.3059 -1.2000 -0.8057
Mn -7.6549 1.5064 0.5023
Mn -3.8519 0.2157 -1.8006
Fe -5.0386 1.9659 -0.1512
Os -4.6386 -2.3690 -1.6049
Os -6.0264 -4.6327 -2.6304
Os -6.4629 -0.2555 -1.1680
```


Entry 5:
Here is an optimized crystal structure of Mn2Fe2Os from Alexandria via LeMat-Bulk. Energies are from PBE-GGA.

Values from the calculation:
Formation energy from the elements   202 meV per atom
Excess energy over the best structure of this formula in the dataset   157 meV per atom
Space-group type   P4/mbm (127)

Geometry as extended XYZ:
```
10
Lattice="6.6870 0.0000 0.0000 0.0000 6.6870 0.0000 0.0000 0.0000 2.5518" Properties=species:S:1:pos:R:3 pbc="T T T"
Mn 2.5426 5.8862 0.0000
Mn 5.8862 4.1444 0.0000
Mn 4.1444 0.8009 0.0000
Mn 0.8009 2.5426 0.0000
Os 0.0000 0.0000 0.0000
Os 3.3435 3.3435 0.0000
Fe 1.1714 4.5149 1.2759
Fe 4.5149 5.5156 1.2759
Fe 5.5156 2.1721 1.2759
Fe 2.1721 1.1714 1.2759
```


Entry 6:
Here is an optimized crystal structure of MnFe2Os from Alexandria via LeMat-Bulk. Energies are from PBE-GGA.

Values from the calculation:
Formation energy from the elements   142 meV per atom
Space-group type   Pmmm (47)

Geometry as extended XYZ:
```
4
Lattice="2.8907 0.0000 0.0000 0.0000 4.1407 0.0000 0.0000 0.0000 4.1605" Properties=species:S:1:pos:R:3 pbc="T T T"
Fe 0.0000 0.0000 0.0000
Fe 1.4453 2.0703 0.0000
Mn 1.4453 0.0000 2.0803
Os 0.0000 2.0703 2.0803
```


Entry 7:
Here is an optimized crystal structure of Mn6Fe5Os from Alexandria via LeMat-Bulk. Energies are from PBE-GGA.

Values from the calculation:
Formation energy from the elements   112 meV per atom
Space-group type   P2/m (10)

Geometry as extended XYZ:
```
12
Lattice="-3.2682 2.2802 0.5211 -3.2742 -4.7017 0.0392 2.2926 -1.5489 5.7087" Properties=species:S:1:pos:R:3 pbc="T T T"
Mn -3.6462 -2.6420 4.2248
Mn -2.0281 -0.3183 4.2055
Mn -0.1948 -1.6342 5.9794
Mn -4.0549 -2.3362 0.2896
Mn -2.2216 -3.6521 2.0636
Mn -0.6035 -1.3284 2.0442
Os 0.0000 0.0000 0.0000
Fe -3.0528 -1.3463 2.2583
Fe -2.8333 -4.9753 4.0355
Fe -1.6371 -2.3509 0.0196
Fe -1.4164 1.0049 2.2336
Fe -1.1969 -2.6241 4.0107
```


Entry 8:
Here is an optimized crystal structure of MnFe2Os from Alexandria via LeMat-Bulk. Energies are from PBE-GGA.

Values from the calculation:
Formation energy from the elements   186 meV per atom
Space-group type   R-3m (166)

Geometry as extended XYZ:
```
4
Lattice="8.4512 0.0030 0.0017 8.0488 2.5766 0.0017 8.0488 1.2583 2.2485" Properties=species:S:1:pos:R:3 pbc="T T T"
Fe 24.4814 3.8274 2.2458
Fe 12.3419 1.9295 1.1322
Mn 6.1372 0.9595 0.5630
Os 18.4116 2.8785 1.6890
```


Entry 9:
Here is an optimized crystal structure of MnFeOs from Alexandria via LeMat-Bulk. Energies are from PBE-GGA.

Values from the calculation:
Formation energy from the elements   561 meV per atom
Excess energy over the best structure of this formula in the dataset   499 meV per atom
Space-group type   F-43m (216)

Geometry as extended XYZ:
```
3
Lattice="-0.6578 -0.2021 -3.8910 2.0413 -2.5541 -2.2188 -1.8031 -3.1621 -1.5373" Properties=species:S:1:pos:R:3 pbc="T T T"
Fe -0.3147 -4.4388 -5.7353
Mn 0.0000 0.0000 0.0000
Os -0.2098 -2.9592 -3.8235
```


Entry 10:
Here is an optimized crystal structure of MnFe3Os from Alexandria via LeMat-Bulk. Energies are from PBE-GGA.

Values from the calculation:
Formation energy from the elements   1526 meV per atom
Excess energy over the best structure of this formula in the dataset   142 meV per atom
Space-group type   Pm-3m (221)

Geometry as extended XYZ:
```
5
Lattice="-0.0270 -1.3255 -4.2604 0.3395 -4.2488 1.3197 -4.4489 -0.3162 0.1266" Properties=species:S:1:pos:R:3 pbc="T T T"
Mn -2.0682 -2.9452 -1.4070
Os 0.0000 0.0000 0.0000
Fe 0.1697 -2.1244 0.6599
Fe -2.2245 -0.1581 0.0633
Fe -0.0135 -0.6628 -2.1302
```


Entry 11:
Here is an optimized crystal structure of MnFe2Os from Alexandria via LeMat-Bulk. Energies are from PBE-GGA.

Values from the calculation:
Formation energy from the elements   138 meV per atom
Space-group type   Pm (6)

Geometry as extended XYZ:
```
4
Lattice="-3.1469 -0.5595 -2.5218 0.5487 -2.4987 -0.1303 -2.6593 -1.7274 3.7017" Properties=species:S:1:pos:R:3 pbc="T T T"
Fe -0.0228 -0.0658 0.0430
Fe -2.0804 -1.3282 -0.3957
Mn -1.0825 -2.0518 1.8061
Os -3.1272 -3.4528 1.3820
```


Entry 12:
Here is an optimized crystal structure of Mn3FeOs from Alexandria via LeMat-Bulk. Energies are from PBE-GGA.

Values from the calculation:
Formation energy from the elements   1248 meV per atom
Excess energy over the best structure of this formula in the dataset   0 meV per atom
Space-group type   R-3m (166)

Geometry as extended XYZ:
```
5
Lattice="4.5093 0.0000 2.1426 1.7456 4.1578 2.1426 0.5598 0.3721 4.6383" Properties=species:S:1:pos:R:3 pbc="T T T"
Mn 4.1658 4.2678 5.7738
Mn 5.5477 2.1888 5.7738
Mn 6.4206 4.2678 6.8452
Fe 6.1406 4.0817 4.5260
Os 3.2930 2.1889 4.7025
```


Entry 13:
Here is an optimized crystal structure of Mn2Fe2Os from Alexandria via LeMat-Bulk. Energies are from PBE-GGA.

Values from the calculation:
Formation energy from the elements   45 meV per atom
Excess energy over the best structure of this formula in the dataset   0 meV per atom
Space-group type   P-1 (2)

Geometry as extended XYZ:
```
10
Lattice="-0.0763 -2.5409 0.3542 0.8886 -3.3872 -5.4704 7.6193 -1.6321 -0.6802" Properties=species:S:1:pos:R:3 pbc="T T T"
Mn 4.7538 -4.0194 -4.4839
Mn 7.2387 -3.6769 -1.4813
Mn 3.6778 -3.5407 -1.3125
Mn 1.1929 -3.8832 -4.3152
Fe 3.0449 -2.5169 -3.4038
Fe 7.1407 -4.0052 -3.8434
Fe 5.3867 -5.0433 -2.3926
Fe 1.2909 -3.5550 -1.9530
Os 6.4295 -5.5420 -5.7242
Os 2.0022 -2.0181 -0.0723
```


Entry 14:
Here is an optimized crystal structure of MnFe2Os from Alexandria via LeMat-Bulk. Energies are from PBE-GGA.

Values from the calculation:
Formation energy from the elements   52 meV per atom
Space-group type   I-4m2 (119)

Geometry as extended XYZ:
```
4
Lattice="-4.3803 0.3258 -0.6179 -1.8345 -4.0293 0.2713 2.7758 2.1723 2.6927" Properties=species:S:1:pos:R:3 pbc="T T T"
Fe 0.0000 0.0000 0.0000
Fe -1.0830 -1.8544 1.3953
Mn -3.1074 -1.8518 -0.1733
Os -2.3559 0.3232 0.9507
```


Entry 15:
Here is an optimized crystal structure of MnFeOs from Alexandria via LeMat-Bulk. Energies are from PBE-GGA.

Values from the calculation:
Formation energy from the elements   146 meV per atom
Excess energy over the best structure of this formula in the dataset   85 meV per atom
Space-group type   P3m1 (156)

Geometry as extended XYZ:
```
3
Lattice="4.0903 0.0000 0.0000 -2.0452 3.5423 0.0000 0.0000 0.0000 2.5879" Properties=species:S:1:pos:R:3 pbc="T T T"
Fe 0.0000 0.0000 0.1474
Mn 2.0452 1.1808 0.7241
Os 0.0000 2.3615 1.7163
```


Entry 16:
Here is an optimized crystal structure of MnFe2Os from Alexandria via LeMat-Bulk. Energies are from PBE-GGA.

Values from the calculation:
Formation energy from the elements   75 meV per atom
Space-group type   P4mm (99)

Geometry as extended XYZ:
```
4
Lattice="2.8825 0.0000 0.0000 0.0000 2.8825 0.0000 0.0000 0.0000 5.9474" Properties=species:S:1:pos:R:3 pbc="T T T"
Mn 0.0000 0.0000 2.9145
Os 1.4413 1.4413 4.4347
Fe 0.0000 0.0000 0.1037
Fe 1.4413 1.4413 1.4681
```


Entry 17:
Here is an optimized crystal structure of MnFe2Os from Alexandria via LeMat-Bulk. Energies are from PBE-GGA.

Values from the calculation:
Formation energy from the elements   158 meV per atom
Space-group type   C2/m (12)

Geometry as extended XYZ:
```
4
Lattice="4.8687 0.0021 -0.0002 -2.1259 4.2522 0.0050 0.4757 0.6860 2.4197" Properties=species:S:1:pos:R:3 pbc="T T T"
Fe 0.0000 0.0000 0.0000
Fe -0.8251 2.4691 1.2124
Mn 1.3714 2.1272 0.0024
Os 2.6722 0.3441 1.2097
```


Entry 18:
Here is an optimized crystal structure of Mn4Fe3Os from Alexandria via LeMat-Bulk. Energies are from PBE-GGA.

Values from the calculation:
Formation energy from the elements   108 meV per atom
Space-group type   P4/mmm (123)

Geometry as extended XYZ:
```
16
Lattice="-1.6724 2.3475 2.8284 -5.0345 -0.1897 -2.8193 -2.1067 -6.5660 4.2039" Properties=species:S:1:pos:R:3 pbc="T T T"
Mn -4.6521 1.0299 -0.7228
Mn -5.7055 -2.2531 1.3792
Mn -2.0547 1.1278 0.7318
Mn -3.1081 -2.1552 2.8337
Mn -7.0682 -2.7210 3.8441
Mn -4.3427 -1.7851 -1.0857
Mn -1.7454 -1.6872 0.3688
Mn -4.4709 -2.6231 5.2986
Os -2.5172 -0.0949 -1.4097
Os -3.5706 -3.3778 0.6923
Fe 0.0000 0.0000 0.0000
Fe -1.0534 -3.2830 2.1019
Fe -2.4161 -3.7510 4.5668
Fe -1.3631 -0.4675 2.4655
Fe -4.9333 -3.8458 3.1572
Fe -3.8803 -0.5624 1.0557
```


Entry 19:
Here is an optimized crystal structure of Mn2FeOs4 from Alexandria via LeMat-Bulk. Energies are from PBE-GGA.

Values from the calculation:
Formation energy from the elements   174 meV per atom
Space-group type   C2/m (12)

Geometry as extended XYZ:
```
7
Lattice="2.6003 0.0000 -0.6419 -0.6301 5.6515 -2.5529 0.2224 -0.4484 6.4891" Properties=species:S:1:pos:R:3 pbc="T T T"
Mn 0.4525 1.5908 1.8333
Mn 1.7400 3.6122 1.4611
Fe 0.0000 0.0000 0.0000
Os -0.0556 4.5682 -0.2254
Os 2.2482 0.6349 3.5198
Os 0.9406 3.0498 3.8108
Os 1.2519 2.1533 -0.5164
```


Entry 20:
Here is an optimized crystal structure of MnFe2Os from Alexandria via LeMat-Bulk. Energies are from PBE-GGA.

Values from the calculation:
Formation energy from the elements   44 meV per atom
Space-group type   I4/mmm (139)

Geometry as extended XYZ:
```
4
Lattice="-3.5659 2.5352 0.9013 -3.6614 -1.7543 -1.8633 3.1851 -1.7466 2.6000" Properties=species:S:1:pos:R:3 pbc="T T T"
Fe 0.0000 0.0000 0.0000
Fe -3.6136 0.3904 -0.4810
Mn -2.0450 -1.5553 0.1279
Os -1.9972 0.5895 1.5102
```


Entry 21:
Here is an optimized crystal structure of MnFeOs from Alexandria via LeMat-Bulk. Energies are from PBE-GGA.

Values from the calculation:
Formation energy from the elements   187 meV per atom
Excess energy over the best structure of this formula in the dataset   126 meV per atom
Space-group type   Fmmm (69)

Geometry as extended XYZ:
```
12
Lattice="1.1714 -0.7951 -4.2880 0.0055 -8.2085 1.5236 -4.3870 0.2086 1.1397" Properties=species:S:1:pos:R:3 pbc="T T T"
Mn -1.0212 -1.8040 -3.5115
Mn -1.6057 -3.2843 -1.0190
Mn -1.6043 -5.5107 -0.6057
Mn -2.1888 -6.9910 1.8868
Fe 0.0041 -6.1564 1.1427
Fe 0.5898 -6.5539 -1.0013
Fe -3.7998 -2.2411 -0.6234
Fe -3.2141 -2.6386 -2.7674
Os 0.1512 -4.7368 -2.6468
Os -0.4373 -0.2350 -1.2646
Os -2.7728 -8.5600 -0.3601
Os -3.3612 -4.0582 1.0221
```


Entry 22:
Here is an optimized crystal structure of Mn15Fe2Os2 from Alexandria via LeMat-Bulk. Energies are from PBE-GGA.

Values from the calculation:
Formation energy from the elements   228 meV per atom
Space-group type   R-3m (166)

Geometry as extended XYZ:
```
19
Lattice="-0.6545 3.7706 4.7179 -0.6809 -4.1423 4.3912 5.7173 -0.1038 2.0512" Properties=species:S:1:pos:R:3 pbc="T T T"
Mn -0.3405 -2.0712 2.1956
Mn 2.8586 -0.0519 1.0256
Mn -0.3273 1.8853 2.3590
Mn 3.7963 1.0643 2.8551
Mn -0.6625 1.3851 4.6194
Mn 1.2480 -2.9248 3.6857
Mn -0.6730 -1.7567 4.4897
Mn 3.7883 -1.3213 2.7566
Mn 1.2664 2.6026 3.9140
Mn 1.2340 -2.1861 6.1245
Mn 4.3482 -0.2204 4.9855
Mn 1.2469 1.6654 6.2835
Mn 3.1478 1.7106 5.0358
Mn 0.0336 -0.2551 6.1748
Mn 3.1349 -2.1409 4.8768
Fe 3.9541 -0.4291 10.0709
Fe 0.4277 -0.0464 1.0894
Os 2.9833 -0.3237 7.5982
Os 1.3985 -0.1518 3.5621
```


Entry 23:
Here is an optimized crystal structure of MnFe3Os from Alexandria via LeMat-Bulk. Energies are from PBE-GGA.

Values from the calculation:
Formation energy from the elements   1384 meV per atom
Excess energy over the best structure of this formula in the dataset   0 meV per atom
Space-group type   Pm-3m (221)

Geometry as extended XYZ:
```
5
Lattice="-3.7737 1.1477 1.1334 -0.8397 -3.8599 1.1128 1.3772 0.7914 3.7841" Properties=species:S:1:pos:R:3 pbc="T T T"
Mn 0.0000 0.0000 0.0000
Os -1.6181 -0.9604 3.0151
Fe -0.4198 -1.9299 0.5564
Fe 0.6886 0.3957 1.8920
Fe -1.8868 0.5738 0.5667
```


Entry 24:
Here is an optimized crystal structure of Mn6FeOs2 from Alexandria via LeMat-Bulk. Energies are from PBE-GGA.

Values from the calculation:
Formation energy from the elements   237 meV per atom
Space-group type   C2/m (12)

Geometry as extended XYZ:
```
9
Lattice="-3.0942 -1.0187 3.5246 -2.4165 -4.1438 -0.1788 3.1300 -3.1104 3.1915" Properties=species:S:1:pos:R:3 pbc="T T T"
Mn -2.6232 -6.5842 5.0706
Mn -1.1957 -5.9430 3.3318
Mn -1.5025 -4.5317 5.0026
Mn 0.2424 -1.6887 1.4667
Mn -1.1851 -2.3299 3.2056
Mn -0.8783 -3.7412 1.5347
Fe 0.0000 0.0000 0.0000
Os -3.2711 -3.9184 2.7045
Os 0.8903 -4.3545 3.8328
```


Entry 25:
Here is an optimized crystal structure of Mn14FeOs from Alexandria via LeMat-Bulk. Energies are from PBE-GGA.

Values from the calculation:
Formation energy from the elements   140 meV per atom
Space-group type   Amm2 (38)

Geometry as extended XYZ:
```
16
Lattice="-0.5451 1.0097 4.8200 -4.2456 -1.8263 -1.7857 2.4381 -7.4667 1.8399" Properties=species:S:1:pos:R:3 pbc="T T T"
Mn -3.7558 -1.4509 -0.9114
Mn -1.8597 0.0022 2.4732
Mn -0.4104 -4.2766 0.8746
Mn -1.6658 -0.5257 0.0739
Mn -2.8332 -4.6896 2.4091
Mn -3.9363 -0.9127 1.5119
Mn 1.0182 -5.5255 2.9410
Mn -0.2263 -1.7141 2.0019
Mn -1.2744 -5.9163 4.3931
Mn -2.5189 -2.1049 3.4540
Mn -1.0763 -6.3976 1.9878
Mn -2.2947 -2.6663 1.0684
Mn 0.8206 -5.0109 5.3559
Mn -0.4329 -1.1723 4.4100
Fe -0.7076 -3.7825 3.2738
Os -2.5435 -5.1895 -0.0035
```


no.,DFT total energy (eV/atom)
1,-9.20
2,-9.26
3,-8.95
4,-9.55
5,-9.10
6,-9.19
7,-8.94
8,-9.14
9,-9.06
10,-7.63
11,-9.19
12,-8.19
13,-9.25
14,-9.28
15,-9.47
16,-9.26
17,-9.17
18,-9.05
19,-10.07
20,-9.29
21,-9.43
22,-9.08
23,-7.77
24,-9.31
25,-9.11